This record from Alexandria describes a relaxed structure of CeEuGePd. The functional is GGA-PBE.

The structure in extended XYZ format:
```
4
Lattice="-2.177 -3.311 -3.285 2.437 -4.356 -1.256 -1.772 -4.523 1.701" Properties=species:S:1:pos:R:3 pbc="T T T"
Eu -1.134 -9.142 -2.130
Ge 0.000 0.000 0.000
Pd -0.756 -6.095 -1.420
Ce -0.378 -3.047 -0.710
```

Output
- Calculated total energy: -28.50 eV/cell
- V: 24.10 Å³ per atom
- DOS at the Fermi energy: 11.620 states/eV/cell
- Formation energy: -0.619 eV/atom